CoNiAg2: optimized geometry, PBE. Values from VASP.

Structure (Quantum ESPRESSO input):
```
&SYSTEM
  ibrav = 0, nat = 4, ntyp = 3
/
ATOMIC_SPECIES
Co 58.93 Co.upf
Ni 58.69 Ni.upf
Ag 107.87 Ag.upf
CELL_PARAMETERS angstrom
2.702 -3.964 0.000
2.702 3.964 0.000
0.000 0.000 2.714
ATOMIC_POSITIONS crystal
Co 0.000 0.000 0.000
Ni 0.500 0.500 0.000
Ag 0.000 0.500 0.500
Ag 0.500 0.000 0.500
```

Computed properties:
- Formation energy from the elements: 415 meV per atom
- Space-group type: No. 65
- Excess energy over the best structure of this formula in the dataset: 0.207 eV per atom
- Magnetic moment: 2.3 μB/f.u.
- Calculated total energy: -16.93 eV per cell